Record 1
Below is a PBEsol-optimized structure of YZnPtC2, with properties calculated at the SCAN level.

a b c (Å): 4.342 4.342 5.218
angles (deg): 90.00 90.00 90.00
Space group P4/mmm (No. 123)
One atom of each set of equivalent atoms:
Y 0.000 0.000 0.000
Zn 0.500 0.500 0.500
Pt 0.000 0.000 0.500
C 0.000 0.500 0.000

Calculated formation energy, meV/atom: 2213
Energy, eV/atom: -24.137

***

Record 2
Below is a PBEsol-optimized structure of Zn3PtC, with properties calculated at the SCAN level.

a b c (Å): 4.739 4.739 4.739
angles (deg): 90.00 90.00 90.00
Space group Pm-3m (No. 221)
One atom of each set of equivalent atoms:
Zn 0.000 0.000 0.500
Pt 0.000 0.000 0.000
C 0.500 0.500 0.500

Calculated formation energy, meV/atom: 1262
Energy, eV/atom: -22.906
Excess energy over the best structure of this formula in the dataset, eV/f.u.: 4.58

***

Record 3
Below is a PBEsol-optimized structure of Zn3PtC, with properties calculated at the SCAN level.

a b c (Å): 4.029 4.029 4.029
angles (deg): 90.00 90.00 90.00
Space group Pm-3m (No. 221)
One atom of each set of equivalent atoms:
Zn 0.000 0.000 0.500
Pt 0.500 0.500 0.500
C 0.000 0.000 0.000

Calculated formation energy, meV/atom: 345
Energy, eV/atom: -23.823
Excess energy over the best structure of this formula in the dataset, eV/f.u.: 0.00

***

Record 4
Below is a PBEsol-optimized structure of PuC2, with properties calculated at the SCAN level.

a b c (Å): 3.544 3.544 5.998
angles (deg): 90.00 90.00 90.00
Space group I4/mmm (No. 139)
One atom of each set of equivalent atoms:
Pu 0.000 0.000 0.000
C 0.000 0.000 0.388

Calculated formation energy, meV/atom: 158
Energy, eV/atom: -43.289